Computed, not measured: an optimized crystal structure of Sn3HgBi at the PBE level of DFT.

The structure in POSCAR format:
```
Sn3HgBi
1.0
-1.107 5.847 -3.247
-6.604 -1.128 0.223
2.089 3.509 5.610
Sn Hg Bi
6 2 2
Direct
0.355 0.139 0.647 Sn
0.334 0.970 0.081 Sn
0.021 0.446 0.587 Sn
0.855 0.763 0.000 Sn
0.834 0.931 0.566 Sn
0.522 0.456 0.061 Sn
0.179 0.697 0.316 Hg
0.679 0.205 0.332 Hg
0.489 0.654 0.659 Bi
0.989 0.248 0.988 Bi
```

Output
V in A^3/atom: 29.48
DFT total energy in eV/atom: -3.1668
Offset from the most stable computed form in kJ/mol of atoms: 0.0
ΔH_f (0 K) in eV/atom: 0.07